[1]
{"formula": "MgTc2Br", "functional": "PBE-GGA", "state": "optimized geometry", "cell": [[3.104, 0.000, 0.000], [0.000, 3.104, 0.000], [0.000, 0.000, 6.662]], "species": ["Tc", "Tc", "Br", "Mg"], "frac_coords": [[0.000, 0.000, 0.017], [0.000, 0.000, 0.483], [0.500, 0.500, 0.250], [0.500, 0.500, 0.750]], "dos_at_fermi_per_ev_cell": 5.557, "e_above_lowest_polymorph_kj_per_mol_atoms": 75.2, "e_form_raw_ev_per_atom": 0.82}


[2]
{"formula": "MgTcBr2", "functional": "PBE-GGA", "state": "optimized geometry", "cell": [[-0.065, 1.031, 4.214], [2.233, -2.493, 0.644], [4.197, 3.842, -0.875]], "species": ["Mg", "Tc", "Br", "Br"], "frac_coords": [[0.500, 0.250, 0.250], [0.500, 0.750, 0.750], [0.000, 0.938, 0.990], [0.000, 0.562, 0.510]], "dos_at_fermi_per_ev_cell": 2.152, "e_above_lowest_polymorph_kj_per_mol_atoms": 41.5, "e_form_raw_ev_per_atom": 0.27}


[3]
{"formula": "MgTcBr2", "functional": "PBE-GGA", "state": "optimized geometry", "cell": [[-1.131, 3.385, 6.927], [-4.119, 3.758, 5.444], [-1.677, -3.092, 2.599]], "species": ["Br", "Br", "Mg", "Tc"], "frac_coords": [[0.115, 0.115, 0.883], [0.385, 0.385, 0.617], [0.250, 0.250, 0.250], [0.750, 0.750, 0.750]], "dos_at_fermi_per_ev_cell": 1.075, "e_above_lowest_polymorph_kj_per_mol_atoms": 4.8, "e_form_raw_ev_per_atom": -0.11}


[4]
{"formula": "MgTeBr4", "functional": "PBE-GGA", "state": "optimized geometry", "cell": [[0.000, 4.446, 4.446], [4.446, 0.000, 4.446], [4.446, 4.446, 0.000]], "species": ["Br", "Br", "Br", "Te", "Mg", "Br"], "frac_coords": [[0.375, 0.874, 0.375], [0.874, 0.375, 0.375], [0.375, 0.375, 0.375], [0.000, 0.000, 0.000], [0.750, 0.750, 0.750], [0.375, 0.375, 0.874]], "dos_at_fermi_per_ev_cell": 5.614, "e_form_raw_ev_per_atom": 0.44}